VASP calculation (PBE) on an optimized crystal structure of NaY2CoCu.

The space group is P4/mmm (No. 123) and the conventional cell measures 5.299, 5.299 and 4.818 Å, with angles of 90.00, 90.00 and 90.00 degrees. The inequivalent atoms are Na at (0.000, 0.000, 0.000), Y at (0.000, 0.500, 0.500), Co at (0.500, 0.500, 0.000) and Cu at (0.000, 0.000, 0.500).

As for the formation energy: 0.675 eV/atom.

=====

VASP calculation (PBE) on an optimized crystal structure of Ac4Au2I5.

The space group is Immm (No. 71) and the conventional cell measures 4.376, 9.417 and 29.434 Å, with angles of 90.00, 90.00 and 90.00 degrees. The inequivalent atoms are Ac at (0.000, 0.000, 0.147), Ac at (0.000, 0.298, 0.500), Au at (0.000, 0.000, 0.048), I at (0.000, 0.258, 0.323) and I at (0.000, 0.500, 0.000).

For the total energy, the calculation gives -3.84 eV per atom.

=====

VASP calculation (PBE) on an optimized crystal structure of La2PPb.

The space group is Amm2 (No. 38) and the conventional cell measures 6.352, 6.350 and 6.350 Å, with angles of 90.00, 90.00 and 90.00 degrees. The inequivalent atoms are La at (0.000, 0.000, 0.000), La at (0.500, 0.000, 0.499), P at (0.000, 0.000, 0.499) and Pb at (0.500, 0.000, 0.999).

As for the formation energy: -0.865 eV/atom. The calculation puts the energy above the most stable polymorph in this dataset at 0.192 eV/atom.

=====

VASP calculation (PBE) on an optimized crystal structure of Tl6PtAu.

The space group is R-3m (No. 166, hexagonal axes) and the conventional cell measures 9.4042, 9.4042 and 9.3790 Å, with angles of 90.00, 90.00 and 120.00 degrees. The inequivalent atoms are Tl at (0.0554, 0.5277, 0.3348), Pt at (0.0000, 0.0000, 0.5000) and Au at (0.0000, 0.0000, 0.0000).

As for the formation energy: 0.068 eV/atom.

=====

VASP calculation (PBE) on an optimized crystal structure of SrSc3Mo.

The space group is Pm-3m (No. 221) and the conventional cell measures 4.924, 4.924 and 4.924 Å, with angles of 90.00, 90.00 and 90.00 degrees. The inequivalent atoms are Sr at (0.000, 0.000, 0.000), Sc at (0.000, 0.000, 0.500) and Mo at (0.500, 0.500, 0.500).

As for the formation energy: 1.877 eV/atom. The calculation puts the energy above the most stable polymorph in this dataset at 1.595 eV/atom.

=====

VASP calculation (PBE) on an optimized crystal structure of Ca4PuO5.

The space group is I4/m (No. 87) and the conventional cell measures 7.727, 7.727 and 4.870 Å, with angles of 90.00, 90.00 and 90.00 degrees. The inequivalent atoms are Ca at (0.100, 0.698, 0.000), Pu at (0.000, 0.000, 0.500), O at (0.000, 0.000, 0.000) and O at (0.100, 0.699, 0.500).

For the total energy, the calculation gives -7.49 eV per atom.

=====

VASP calculation (PBE) on an optimized crystal structure of EuThAl2.

The space group is Fm-3m (No. 225) and the conventional cell measures 7.452, 7.452 and 7.452 Å, with angles of 90.00, 90.00 and 90.00 degrees. The inequivalent atoms are Eu at (0.000, 0.000, 0.000), Th at (0.000, 0.000, 0.500) and Al at (0.250, 0.250, 0.250).

As for the formation energy: -0.198 eV/atom. The calculation puts the energy above the most stable polymorph in this dataset at 0.033 eV/atom.

=====

VASP calculation (PBE) on an optimized crystal structure of Sm2EuTl.

The space group is P4/mmm (No. 123) and the conventional cell measures 3.761, 3.761 and 9.359 Å, with angles of 90.00, 90.00 and 90.00 degrees. The inequivalent atoms are Sm at (0.000, 0.000, 0.216), Eu at (0.500, 0.500, 0.500) and Tl at (0.500, 0.500, 0.000).

As for the formation energy: -0.119 eV/atom. The calculation puts the energy above the most stable polymorph in this dataset at 0.043 eV/atom.

=====

VASP calculation (PBE) on an optimized crystal structure of NaBi2AuO5.

The space group is P4/mbm (No. 127) and the conventional cell measures 12.566, 12.566 and 3.621 Å, with angles of 90.00, 90.00 and 90.00 degrees. The inequivalent atoms are Na at (0.199, 0.301, 0.000), Bi at (0.051, 0.768, 0.500), Au at (0.000, 0.000, 0.000), Au at (0.000, 0.500, 0.000), O at (0.004, 0.339, 0.000), O at (0.114, 0.884, 0.000) and O at (0.213, 0.713, 0.500).

For the total energy, the calculation gives -5.15 eV per atom.

=====

VASP calculation (PBE) on an optimized crystal structure of TlZnMo2.

The space group is Cm (No. 8) and the conventional cell measures 9.505, 2.850 and 5.155 Å, with angles of 90.00, 94.97 and 90.00 degrees. The inequivalent atoms are Tl at (0.000, 0.000, 0.000), Zn at (0.246, 0.000, 0.757), Mo at (0.005, 0.500, 0.501) and Mo at (0.247, 0.500, 0.292).

As for the formation energy: 0.549 eV/atom. The calculation puts the energy above the most stable polymorph in this dataset at 0.213 eV/atom.

=====

VASP calculation (PBE) on an optimized crystal structure of GdHoMnRh.

The space group is F-43m (No. 216) and the conventional cell measures 6.952, 6.952 and 6.952 Å, with angles of 90.00, 90.00 and 90.00 degrees. The inequivalent atoms are Gd at (0.000, 0.000, 0.000), Ho at (0.000, 0.000, 0.500), Mn at (0.250, 0.250, 0.250) and Rh at (0.250, 0.250, 0.750).

As for the formation energy: -0.267 eV/atom.

=====

VASP calculation (PBE) on an optimized crystal structure of Cs2BiAsS4.

The space group is Fddd (No. 70, origin choice 2) and the conventional cell measures 6.645, 14.994 and 25.168 Å, with angles of 90.00, 90.00 and 90.00 degrees. The inequivalent atoms are Cs at (0.125, 0.125, 0.305), Bi at (0.125, 0.125, 0.125), As at (0.125, 0.125, 0.625) and S at (0.102, 0.275, 0.822).

For the total energy, the calculation gives -3.86 eV per atom.